A geometry-optimized K3Au5Cl12 structure. Source: the Alexandria database, functional GGA-PBE.

magnetization: 0.000 μB/cell
crystal system: cubic
SG: No. 230
formation energy from raw total energies: -64.1 kJ/mol of atoms
DOS(E_F): 0.63 states/eV per atom

Unit cell a=14.4563 b=14.4563 c=14.4563 alpha=109.47 beta=109.47 gamma=109.47
Atoms (fractional coordinates):
K 0.1250 0.2500 0.3750
K 0.1250 0.3750 0.7500
K 0.2500 0.3750 0.1250
K 0.2500 0.8750 0.6250
K 0.3750 0.1250 0.2500
K 0.3750 0.7500 0.1250
K 0.6250 0.2500 0.8750
K 0.6250 0.8750 0.7500
K 0.7500 0.1250 0.3750
K 0.7500 0.6250 0.8750
K 0.8750 0.6250 0.2500
K 0.8750 0.7500 0.6250
Au 0.0000 0.0000 0.0000
Au 0.0000 0.0000 0.5000
Au 0.0000 0.5000 0.0000
Au 0.0000 0.5000 0.5000
Au 0.1250 0.7500 0.8750
Au 0.1250 0.8750 0.2500
Au 0.2500 0.1250 0.8750
Au 0.2500 0.6250 0.3750
Au 0.3750 0.2500 0.6250
Au 0.3750 0.6250 0.7500
Au 0.5000 0.0000 0.0000
Au 0.5000 0.0000 0.5000
Au 0.5000 0.5000 0.0000
Au 0.5000 0.5000 0.5000
Au 0.6250 0.3750 0.2500
Au 0.6250 0.7500 0.3750
Au 0.7500 0.3750 0.6250
Au 0.7500 0.8750 0.1250
Au 0.8750 0.1250 0.7500
Au 0.8750 0.2500 0.1250
Cl 0.0180 0.1912 0.1168
Cl 0.0180 0.3268 0.9012
Cl 0.0744 0.6912 0.6732
Cl 0.0744 0.8832 0.4012
Cl 0.0988 0.6168 0.4256
Cl 0.0988 0.9820 0.6732
Cl 0.1168 0.0180 0.1912
Cl 0.1168 0.5988 0.9256
Cl 0.1732 0.1912 0.5744
Cl 0.1732 0.4820 0.5988
Cl 0.1912 0.1168 0.0180
Cl 0.1912 0.5744 0.1732
Cl 0.3088 0.3268 0.9256
Cl 0.3088 0.4820 0.3832
Cl 0.3268 0.9012 0.0180
Cl 0.3268 0.9256 0.3088
Cl 0.3832 0.3088 0.4820
Cl 0.3832 0.5744 0.9012
Cl 0.4012 0.0744 0.8832
Cl 0.4012 0.8268 0.5180
Cl 0.4256 0.0988 0.6168
Cl 0.4256 0.8268 0.8088
Cl 0.4820 0.3832 0.3088
Cl 0.4820 0.5988 0.1732
Cl 0.5180 0.4012 0.8268
Cl 0.5180 0.6168 0.6912
Cl 0.5744 0.1732 0.1912
Cl 0.5744 0.9012 0.3832
Cl 0.5988 0.1732 0.4820
Cl 0.5988 0.9256 0.1168
Cl 0.6168 0.4256 0.0988
Cl 0.6168 0.6912 0.5180
Cl 0.6732 0.0744 0.6912
Cl 0.6732 0.0988 0.9820
Cl 0.6912 0.5180 0.6168
Cl 0.6912 0.6732 0.0744
Cl 0.8088 0.4256 0.8268
Cl 0.8088 0.8832 0.9820
Cl 0.8268 0.5180 0.4012
Cl 0.8268 0.8088 0.4256
Cl 0.8832 0.4012 0.0744
Cl 0.8832 0.9820 0.8088
Cl 0.9012 0.0180 0.3268
Cl 0.9012 0.3832 0.5744
Cl 0.9256 0.1168 0.5988
Cl 0.9256 0.3088 0.3268
Cl 0.9820 0.6732 0.0988
Cl 0.9820 0.8088 0.8832



A geometry-optimized Hg3Te2Cl2 structure. Source: the Alexandria database, functional GGA-PBE.

magnetization: 0.000 μB/cell
crystal system: cubic
SG: No. 199
formation energy from raw total energies: -38.8 kJ/mol of atoms
DOS(E_F): 0.00 states/eV per atom

Unit cell a=8.3465 b=8.3465 c=8.3465 alpha=109.47 beta=109.47 gamma=109.47
Atoms (fractional coordinates):
Hg 0.1814 0.7500 0.9314
Hg 0.2500 0.5686 0.3186
Hg 0.3186 0.2500 0.5686
Hg 0.5686 0.3186 0.2500
Hg 0.7500 0.9314 0.1814
Hg 0.9314 0.1814 0.7500
Te 0.0000 0.9422 0.5000
Te 0.5000 0.0000 0.9422
Te 0.5578 0.5578 0.5578
Te 0.9422 0.5000 0.0000
Cl 0.0000 0.4860 0.5000
Cl 0.0140 0.0140 0.0140
Cl 0.4860 0.5000 0.0000
Cl 0.5000 0.0000 0.4860



A geometry-optimized Ca2TaCu structure. Source: the Alexandria database, functional GGA-PBE.

magnetization: 2.132 μB/cell
crystal system: tetragonal
SG: No. 123
DOS(E_F): 1.05 states/eV per atom

Unit cell a=4.5769 b=4.5769 c=4.4998 alpha=90.00 beta=90.00 gamma=90.00
Atoms (fractional coordinates):
Ca 0.0000 0.5000 0.0000
Ca 0.5000 0.0000 0.0000
Ta 0.0000 0.0000 0.5000
Cu 0.5000 0.5000 0.5000



Sequential electronic total energy output: -2.756 -1.957 -4.210 eV per atom